A plane-wave DFT calculation with PBE-GGA was carried out for a relaxed structure of PrDyIn2Pt4.

a = 4.616 Å, b = 4.616 Å, c = 9.221 Å
α = 90.00°, β = 90.00°, γ = 120.00°
Sites, in units of the cell vectors:
Dy 0.000 0.000 0.000
In 0.333 0.667 0.246
In 0.333 0.667 0.754
Pr 0.667 0.333 0.500
Pt 0.667 0.333 0.154
Pt 0.000 0.000 0.332
Pt 0.000 0.000 0.668
Pt 0.667 0.333 0.846

## Properties
- total energy (eV per atom) = -5.82
- V (Å³/cell) = 170
- crystal system = hexagonal


A plane-wave DFT calculation with PBE-GGA was carried out for a relaxed structure of HgAsPd.

a = 4.464 Å, b = 4.464 Å, c = 4.464 Å
α = 60.00°, β = 60.00°, γ = 60.00°
Sites, in units of the cell vectors:
As 0.250 0.250 0.250
Hg 0.750 0.750 0.750
Pd 0.000 0.000 0.000

## Properties
- ΔE to the lowest computed polymorph (kJ per mole of atoms) = 0.0
- total energy (eV per atom) = -3.40
- V (Å³/cell) = 63
- crystal system = cubic


A plane-wave DFT calculation with PBE-GGA was carried out for a relaxed structure of Ba3Lu2Mg.

a = 7.006 Å, b = 7.006 Å, c = 6.242 Å
α = 90.00°, β = 90.00°, γ = 120.01°
Sites, in units of the cell vectors:
Ba 0.500 0.000 0.500
Ba 0.500 0.500 0.500
Ba 0.000 0.500 0.500
Lu 0.667 0.333 0.000
Lu 0.333 0.667 0.000
Mg 0.000 0.000 0.000

## Properties
- total energy (eV per atom) = -2.08
- V (Å³/cell) = 265
- crystal system = hexagonal